A geometry-optimized RbZnCo2F8 structure. Source: the Alexandria database, functional GGA+U.

abc: 4.9371 4.9784 7.8038
angles: 89.05 88.24 84.33
Last column: nearest neighbours and their distance in Å.
Atoms (fractional coordinates):
Rb: 0.0000 0.0000 0.0000  6 F 2.72-2.83
Zn: 0.0000 0.0000 0.5000  4 F 2.00-2.01
Co: 0.4776 0.4824 0.6823  5 F 1.82-2.02
Co: 0.5224 0.5176 0.3177  5 F 1.82-2.02
F: 0.2128 0.7920 0.3138  1 Co 1.95, 1 Zn 2.01
F: 0.2233 0.8085 0.6821  1 Co 1.95, 1 Zn 2.00
F: 0.2982 0.3184 0.4850  2 Co 2.00-2.02
F: 0.3380 0.3696 0.8859  1 Co 1.82
F: 0.6620 0.6304 0.1141  1 Co 1.82
F: 0.7018 0.6816 0.5150  2 Co 2.00-2.02
F: 0.7767 0.1915 0.3179  1 Co 1.95, 1 Zn 2.00
F: 0.7872 0.2080 0.6862  1 Co 1.95, 1 Zn 2.01

Results
Space group: No. 2
Energy, eV per atom: -4.455
Total magnetic moment, μB/atom: 0.5833